# Mg2Sc5Ni2Au (PBE, optimized geometry)
data_Mg2Sc5Ni2Au
_symmetry_space_group_name_H-M 'P 4/m b m'
_symmetry_Int_Tables_number 127
_symmetry_space_group_name_Hall '-P 4 2ab'
_cell_length_a 10.968
_cell_length_b 10.968
_cell_length_c 3.386
_cell_angle_alpha 90.00
_cell_angle_beta 90.00
_cell_angle_gamma 90.00
loop_
_atom_site_label
_atom_site_type_symbol
_atom_site_fract_x
_atom_site_fract_y
_atom_site_fract_z
Mg1 Mg 0.173 0.327 0.000
Sc1 Sc 0.000 0.500 0.500
Sc2 Sc 0.072 0.796 0.500
Ni1 Ni 0.131 0.631 0.000
Au1 Au 0.000 0.000 0.000
# * total DFT energy (no corrections): -5.376 eV per atom
# * D(E_F): 14.05 states/eV/cell
# * theoretical density: 4793 kg/m3